Record 1
The following is a DFT calculation (PBE) of an optimized crystal structure of NiRh2Se.

Properties
uncorrected formation energy: 1.94 eV/f.u.

Unit cell a=5.150 b=5.150 c=11.904 alpha=90.00 beta=90.00 gamma=90.00
Positions (direct):
Ni 0.000 0.000 0.000
Ni 0.000 0.500 0.250
Ni 0.500 0.000 0.750
Ni 0.500 0.500 0.500
Rh 0.248 0.250 0.125
Rh 0.250 0.748 0.375
Rh 0.250 0.752 0.875
Rh 0.252 0.250 0.625
Rh 0.748 0.750 0.625
Rh 0.750 0.248 0.875
Rh 0.750 0.252 0.375
Rh 0.752 0.750 0.125
Se 0.000 0.000 0.500
Se 0.000 0.500 0.750
Se 0.500 0.000 0.250
Se 0.500 0.500 0.000


Record 2
The following is a DFT calculation (PBE) of an optimized crystal structure of NiRhSe4.

Properties
uncorrected formation energy: -1.99 eV/f.u.

Unit cell a=5.063 b=3.681 c=6.339 alpha=90.00 beta=93.99 gamma=90.00
Positions (direct):
Ni 0.000 0.000 0.000
Rh 0.000 0.500 0.500
Se 0.231 0.500 0.859
Se 0.264 0.000 0.353
Se 0.736 0.000 0.647
Se 0.769 0.500 0.141


Record 3
The following is a DFT calculation (PBE) of an optimized crystal structure of Ni3RhSe.

Properties
uncorrected formation energy: 5.87 eV/f.u.

Unit cell a=4.535 b=4.535 c=4.535 alpha=90.00 beta=90.00 gamma=90.00
Positions (direct):
Ni 0.000 0.000 0.500
Ni 0.000 0.500 0.000
Ni 0.500 0.000 0.000
Rh 0.000 0.000 0.000
Se 0.500 0.500 0.500


- Which value of uncorrected formation energy does entry 1 give?
  1.94 eV/f.u.